(1)
NpCr2PbO6: relaxed, PBE with a Hubbard U.

extended XYZ file:
```
10
Lattice="-1.5366 3.1046 -4.3828 -5.3701 0.2178 -1.5228 -2.9516 4.7555 0.8441" Properties=species:S:1:pos:R:3 pbc="T T T"
Np -2.3644 1.4566 -1.6993
Cr -4.8907 3.8228 -2.6975
Cr -2.9250 4.6051 0.7283
Pb -7.3370 5.7419 -4.0405
O -3.0421 3.1282 -3.1158
O -5.6743 2.0110 -2.2744
O -5.5135 3.8454 -4.6177
O -6.6222 4.6792 -1.9169
O -4.3968 5.8362 -2.9036
O -4.2330 4.2112 -0.7590
```

Computed properties:
- electronic total energy (eV per atom) = -8.128
- Fermi-level density of states (states/eV/atom) = 0.63

=====

(2)
NpCrPdO6: relaxed, PBE with a Hubbard U.

extended XYZ file:
```
18
Lattice="-1.5835 0.2536 4.9671 4.6815 -2.0024 -1.1477 3.7275 8.2757 0.7658" Properties=species:S:1:pos:R:3 pbc="T T T"
Np 1.4367 1.5705 3.1203
Np 5.3888 4.9563 1.4649
Cr 0.0000 0.0000 0.0000
Cr 1.8637 4.1378 0.3829
Pd 3.5251 0.8185 1.0820
Pd 3.3004 5.7084 3.5031
O 2.5233 -0.1490 2.7079
O 0.3854 0.6347 4.6455
O 6.4534 3.2585 0.9249
O 6.4401 5.8922 -0.0604
O 2.3751 2.5608 1.5562
O 2.9776 2.0231 4.4350
O 6.8387 5.4417 2.8684
O 0.3720 3.2683 3.6602
O 3.8479 4.5038 0.1502
O -0.0132 1.0852 1.7167
O 4.4504 3.9660 3.0290
O 4.3021 6.6759 1.8773
```

Computed properties:
- electronic total energy (eV per atom) = -7.903
- Fermi-level density of states (states/eV/atom) = 0.88

=====

(3)
Pm2NpCrO8: relaxed, PBE with a Hubbard U.

extended XYZ file:
```
12
Lattice="4.1074 -0.3450 0.0735 -0.3004 5.3370 -0.3291 0.0935 -0.4001 7.5758" Properties=species:S:1:pos:R:3 pbc="T T T"
Pm 2.0527 1.9892 5.4817
Pm 1.8478 2.6027 1.8385
Np 0.0000 0.0000 0.0000
Cr 0.0468 -0.2001 3.7879
O -0.0369 4.2039 1.6404
O 2.1178 3.9432 -0.1251
O 3.7606 1.0646 1.3760
O 3.9375 0.3880 5.6798
O 1.7827 0.6487 7.4453
O 0.1399 3.5273 5.9442
O 2.4269 3.6062 3.8293
O 1.4737 0.9857 3.4909
```

Computed properties:
- electronic total energy (eV per atom) = -8.484
- Fermi-level density of states (states/eV/atom) = 0.01

=====

(4)
PrNpCrO6: relaxed, PBE with a Hubbard U.

extended XYZ file:
```
18
Lattice="5.7197 0.0000 0.0000 -2.8599 4.9534 0.0000 0.0000 0.0000 8.6079" Properties=species:S:1:pos:R:3 pbc="T T T"
Pr 0.0000 3.3023 2.1520
Pr 2.8599 1.6511 6.4559
Np 2.8599 1.6511 2.1520
Np 0.0000 3.3023 6.4559
Cr 0.0000 0.0000 0.0000
Cr 0.0000 0.0000 4.3039
O 2.1413 3.2640 1.0411
O 4.6159 1.4670 1.0411
O -1.0375 4.7310 5.3450
O -1.7561 3.4864 7.5668
O 1.1038 1.4670 3.2629
O 3.5784 3.2640 3.2629
O 1.0375 4.7310 7.5668
O 3.8974 0.2224 3.2629
O -0.7186 1.6894 5.3450
O 1.8224 0.2224 1.0411
O 1.7561 3.4864 5.3450
O 0.7186 1.6894 7.5668
```

Computed properties:
- electronic total energy (eV per atom) = -8.595
- Fermi-level density of states (states/eV/atom) = 0.01

=====

(5)
PrNpCr2O8: relaxed, PBE with a Hubbard U.

extended XYZ file:
```
12
Lattice="4.8774 0.2092 0.1999 0.2882 4.8811 0.2058 0.3481 0.3415 7.0826" Properties=species:S:1:pos:R:3 pbc="T T T"
Pr 0.1740 0.1707 3.5413
Np 0.0000 0.0000 0.0000
Cr 2.6521 2.6125 5.2538
Cr 2.8616 2.8193 2.2344
O 1.3580 4.0144 1.7986
O 3.7975 3.7523 0.6605
O 4.0388 1.3032 1.7919
O 4.1557 1.4175 5.6897
O 1.7161 1.6796 6.8278
O 1.4749 4.1286 5.6964
O 3.6267 3.5851 3.8242
O 1.8869 1.8467 3.6641
```

Computed properties:
- electronic total energy (eV per atom) = -8.369
- Fermi-level density of states (states/eV/atom) = 0.32

=====

(6)
NpCrPtO6: relaxed, PBE with a Hubbard U.

extended XYZ file:
```
18
Lattice="5.2345 0.0000 0.0000 -2.6173 4.5332 0.0000 0.0000 0.0000 9.1078" Properties=species:S:1:pos:R:3 pbc="T T T"
Np 2.6173 1.5111 2.2769
Np 0.0000 3.0222 6.8308
Cr 0.0000 0.0000 0.0000
Cr 0.0000 0.0000 4.5539
Pt 0.0000 3.0222 2.2769
Pt 2.6173 1.5111 6.8308
O 1.7265 3.0633 1.1314
O -0.8276 1.5064 1.1314
O 1.7184 0.0365 5.6853
O 3.4448 3.0268 7.9764
O 0.8276 1.5064 3.4225
O -1.7265 3.0633 3.4225
O 3.5161 0.0365 7.9764
O 0.8989 4.4967 3.4225
O 4.3437 1.4699 5.6853
O -0.8989 4.4967 1.1314
O 1.7897 3.0268 5.6853
O 0.8908 1.4699 7.9764
```

Computed properties:
- electronic total energy (eV per atom) = -8.001
- Fermi-level density of states (states/eV/atom) = 0.66

=====

(7)
PuNpCrO6: relaxed, PBE with a Hubbard U.

extended XYZ file:
```
18
Lattice="-2.2071 -1.9060 4.5091 1.5766 -3.3869 -3.8574 8.8879 -0.5518 4.1172" Properties=species:S:1:pos:R:3 pbc="T T T"
Pu 0.0000 0.0000 0.0000
Pu 4.4440 -0.2759 2.0586
Np 1.2761 -2.5375 2.7496
Np 6.9813 -3.3071 2.0193
Cr 2.5373 -3.0312 -0.0393
Cr 5.7201 -2.8135 4.8081
O 0.8288 -3.5424 0.9377
O 1.7463 -1.2946 -0.7416
O 4.9018 -1.0662 4.1660
O 6.5111 -4.5500 5.5105
O 3.0316 -2.0447 1.6688
O 4.2390 -2.4575 -0.9932
O 6.2347 -1.7752 6.4790
O 3.3556 -4.7784 0.6028
O 4.0184 -3.3871 5.7620
O 2.0227 -4.0694 -1.7102
O 5.2258 -3.7999 3.1001
O 7.4286 -2.3023 3.8312
```

Computed properties:
- electronic total energy (eV per atom) = -9.828
- Fermi-level density of states (states/eV/atom) = 0.94

=====

(8)
NpCr2ReO8: relaxed, PBE with a Hubbard U.

extended XYZ file:
```
12
Lattice="-4.3930 1.7234 0.5758 -1.6015 -4.4722 -0.0506 0.6853 -0.3154 6.1717" Properties=species:S:1:pos:R:3 pbc="T T T"
Np 0.3426 -0.1577 3.0859
Cr -2.4787 -1.6131 4.9329
Cr -2.8305 -1.4511 1.7640
Re 0.0000 0.0000 0.0000
O -2.0095 -3.2751 1.5209
O -4.2621 -1.9579 0.3734
O -3.6643 0.3789 1.8913
O -3.2997 0.2109 5.1760
O -1.0471 -1.1063 6.3236
O -1.6449 -3.4431 4.8056
O -3.7880 -2.0562 3.4472
O -1.5213 -1.0080 3.2497
```

Computed properties:
- electronic total energy (eV per atom) = -8.748
- Fermi-level density of states (states/eV/atom) = 0.44

=====

(9)
NpCr2RhO8: relaxed, PBE with a Hubbard U.

extended XYZ file:
```
12
Lattice="4.7208 -0.0833 -0.0029 -0.0530 4.7177 -0.0053 0.0038 0.0070 6.2031" Properties=species:S:1:pos:R:3 pbc="T T T"
Np 0.0019 0.0035 3.1015
Cr 2.3368 2.3225 4.7098
Cr 2.3348 2.3189 1.4851
Rh 0.0000 0.0000 0.0000
O 0.9089 3.7471 1.5215
O 3.2519 3.2333 -0.0057
O 3.7608 0.8908 1.5230
O 3.7627 0.8943 4.6734
O 1.4198 1.4082 6.2006
O 0.9109 3.7507 4.6719
O 3.2145 3.1989 3.0959
O 1.4571 1.4425 3.0990
```

Computed properties:
- electronic total energy (eV per atom) = -8.146
- Fermi-level density of states (states/eV/atom) = 0.34

=====

(10)
NpCrRhO6: relaxed, PBE with a Hubbard U.

extended XYZ file:
```
18
Lattice="-3.2369 3.9320 0.7522 -1.1877 -4.6865 1.7692 4.1776 1.9264 7.9073" Properties=species:S:1:pos:R:3 pbc="T T T"
Np -1.5094 1.5408 3.0680
Np 1.2624 -0.3688 7.3607
Cr 0.0000 0.0000 0.0000
Cr 2.0888 0.9632 3.9536
Rh -0.8264 -1.3320 3.4070
Rh 0.5794 2.5040 7.0216
O -2.4415 -0.2952 2.6860
O 0.1062 -1.2875 1.5818
O 1.5289 2.4771 5.2048
O -0.3532 2.4594 8.8469
O 0.1197 0.4447 3.7960
O 0.7422 -2.4139 4.1636
O 1.4620 4.3071 7.4378
O -1.7760 -1.3052 5.2239
O -0.9892 3.5859 6.2651
O -1.7090 -3.1351 2.9909
O -0.3668 0.7272 6.6327
O 2.1944 1.4672 7.7427
```

Computed properties:
- electronic total energy (eV per atom) = -8.339

=====

(11)
NpCrRuO6: relaxed, PBE with a Hubbard U.

extended XYZ file:
```
18
Lattice="-2.2227 1.9546 -4.3276 4.3461 -2.9093 -0.3701 -4.9185 -7.2522 -0.7494" Properties=species:S:1:pos:R:3 pbc="T T T"
Np -1.2627 -1.4797 -3.1958
Np -1.5324 -6.7271 -2.2513
Cr 0.9269 -3.1010 -1.8767
Cr -3.7220 -5.1058 -3.5705
Ru 0.0000 0.0000 0.0000
Ru -2.4593 -3.6261 -0.3747
O 0.8296 -1.5872 -3.2269
O 0.8046 -1.8767 -0.2609
O -3.7862 -3.9244 -1.9199
O -3.5997 -6.3302 -5.1862
O -1.1019 -3.0406 -1.8073
O 1.0813 -4.6490 -0.5711
O -5.7517 -5.0366 -3.5808
O 0.9911 -4.2824 -3.5273
O -3.8764 -3.5578 -4.8760
O 2.9565 -3.1703 -1.8663
O -1.6932 -5.1662 -3.6399
O -3.6247 -6.6197 -2.2202
```

Computed properties:
- electronic total energy (eV per atom) = -8.487
- Fermi-level density of states (states/eV/atom) = 0.87

=====

(12)
NpCrSbO6: relaxed, PBE with a Hubbard U.

extended XYZ file:
```
18
Lattice="-4.0327 -0.0490 -3.5481 4.7799 -2.0535 -1.3382 -2.8100 -8.7005 3.3139" Properties=species:S:1:pos:R:3 pbc="T T T"
Np -1.7977 -2.8922 -1.9830
Np -0.2652 -7.9106 0.4106
Cr 1.1398 -3.5604 -1.2464
Cr -3.2027 -7.2425 -0.3261
Sb 0.0000 0.0000 0.0000
Sb -1.4050 -4.3502 1.6569
O 0.1309 -2.5634 -2.7032
O 1.2852 -1.9247 -0.0474
O -3.1901 -5.5765 0.8396
O -3.3481 -8.8782 -1.5251
O -0.7240 -3.9040 -0.5100
O 2.0655 -4.4948 0.3042
O -5.0171 -7.5536 0.5373
O 1.1272 -5.2263 -2.4121
O -4.1284 -6.3081 -1.8767
O 2.9542 -3.2493 -2.1098
O -1.3388 -6.8989 -1.0625
O -2.1938 -8.2395 1.1307
```

Computed properties:
- electronic total energy (eV per atom) = -8.107

=====

(13)
NpScCrO6: relaxed, PBE with a Hubbard U.

extended XYZ file:
```
18
Lattice="-3.6595 1.7380 -3.5485 3.6493 -3.6751 -1.4766 -5.4259 -6.3805 2.4706" Properties=species:S:1:pos:R:3 pbc="T T T"
Np -2.5797 -1.6615 -2.2402
Np -2.8564 -6.6561 -0.3143
Sc -0.1435 -3.4659 -1.5496
Sc -5.2927 -4.8518 -1.0049
Cr 0.0000 0.0000 0.0000
Cr -2.7130 -3.1903 1.2353
O -0.7232 -2.0933 -3.0684
O -3.1383 -0.2795 -3.6883
O -0.9684 -7.0862 -1.0689
O -2.2978 -8.0381 1.1339
O -2.0523 -2.9953 -0.7362
O -3.2181 -3.1084 -3.5885
O -3.5575 -8.0566 -1.6804
O -4.4678 -1.2314 -1.4856
O -2.2181 -5.2092 1.0340
O -1.8786 -0.2610 -0.8741
O -3.3838 -5.3223 -1.8182
O -4.7130 -6.2243 0.5139
```

Computed properties:
- electronic total energy (eV per atom) = -8.893
- Fermi-level density of states (states/eV/atom) = 0.16

=====

(14)
NpScCr2O6: relaxed, PBE with a Hubbard U.

extended XYZ file:
```
10
Lattice="-3.3102 -3.9843 1.6336 1.9524 -3.8759 3.0890 -1.8062 -0.0910 5.5312" Properties=species:S:1:pos:R:3 pbc="T T T"
Np -2.1526 -6.4240 7.0021
Sc -0.5456 -2.4972 1.8075
Cr -1.4814 -4.1117 4.8728
Cr -1.7448 -0.1958 5.3738
O -2.0516 -3.3637 3.0262
O 0.7315 -4.4613 4.5038
O -2.2430 -6.0729 4.7581
O -1.2108 -4.4184 7.0254
O -3.6216 -3.4441 5.8335
O -1.0683 -2.1088 5.5515
```

Computed properties:
- electronic total energy (eV per atom) = -8.916
- Fermi-level density of states (states/eV/atom) = 1.17

=====

(15)
SmNpCr2O6: relaxed, PBE with a Hubbard U.

extended XYZ file:
```
10
Lattice="5.6357 0.0709 -0.1236 2.8753 4.8256 -0.1076 2.7204 1.5820 4.7732" Properties=species:S:1:pos:R:3 pbc="T T T"
Sm 8.4122 4.8605 2.7154
Np 2.8252 1.6125 0.2576
Cr 5.6513 3.2577 1.9430
Cr 2.7343 1.5822 4.5955
O 4.9398 1.5361 1.0146
O 4.5033 4.6763 0.9910
O 7.5792 3.5878 0.8750
O 6.1970 4.7409 3.4348
O 6.6119 1.9818 3.4299
O 3.8637 2.9243 3.6040
```

Computed properties:
- electronic total energy (eV per atom) = -8.740
- Fermi-level density of states (states/eV/atom) = 1.18

=====

(16)
SmNpCr2O8: relaxed, PBE with a Hubbard U.

extended XYZ file:
```
12
Lattice="4.8070 0.0204 -0.0157 0.0886 4.8062 -0.0164 0.0234 0.0241 6.7316" Properties=species:S:1:pos:R:3 pbc="T T T"
Sm 0.0117 0.0120 3.3658
Np 0.0000 0.0000 0.0000
Cr 2.4649 2.4308 4.9570
Cr 2.4541 2.4197 1.7425
O 1.0539 3.8417 1.4891
O 3.4346 3.3827 -0.0213
O 3.8520 0.9955 1.4896
O 3.8651 1.0089 5.2104
O 1.4845 1.4679 6.7208
O 1.0670 3.8551 5.2099
O 3.3031 3.2523 3.3442
O 1.6160 1.5983 3.3553
```

Computed properties:
- electronic total energy (eV per atom) = -8.398
- Fermi-level density of states (states/eV/atom) = 0.33

=====

(17)
SmNpCrO6: relaxed, PBE with a Hubbard U.

extended XYZ file:
```
18
Lattice="-4.8763 -0.7765 -2.7527 4.9129 -0.9548 -2.6287 -0.1833 -8.2235 2.6444" Properties=species:S:1:pos:R:3 pbc="T T T"
Sm 1.6041 -2.9512 -2.0089
Sm -1.7507 -7.0036 -0.7281
Np -1.6590 -2.8918 -2.0503
Np 1.5124 -7.0630 -0.6867
Cr 0.0000 0.0000 0.0000
Cr -0.0916 -4.1117 1.3222
O -0.1779 -2.1811 -3.3342
O -3.2344 -2.0446 -3.1215
O 3.1442 -6.2741 -1.7173
O 3.0878 -7.9102 0.3844
O -0.2378 -3.6554 -0.7296
O -1.5185 -4.4826 -3.3907
O 1.3481 -8.6482 -2.0311
O -3.2908 -3.6806 -1.0197
O 1.3719 -5.4722 0.6537
O -1.4947 -1.3066 -0.7060
O 0.0912 -6.2994 -2.0074
O 0.0313 -7.7737 0.5971
```

Computed properties:
- electronic total energy (eV per atom) = -8.634
- Fermi-level density of states (states/eV/atom) = 0.03

=====

(18)
NpCrSnO6: relaxed, PBE with a Hubbard U.

extended XYZ file:
```
18
Lattice="-4.8653 0.1226 -2.1549 0.7379 -2.2196 4.7811 -1.5613 8.0626 3.9839" Properties=species:S:1:pos:R:3 pbc="T T T"
Np -3.3879 1.3575 1.1531
Np -2.3009 4.6081 5.4570
Cr -1.5202 0.5768 3.4651
Cr -4.1686 5.3888 3.1450
Sn 0.0000 0.0000 0.0000
Sn -0.7807 4.0313 1.9920
O -2.9085 -0.3707 2.3146
O -0.0215 0.2861 2.1167
O -2.6337 5.0830 1.8414
O -5.6672 5.6795 4.4934
O -1.9171 2.2706 2.4057
O -0.1538 1.4965 4.6633
O -4.6235 7.0699 2.0887
O -3.0550 0.8826 4.7687
O -5.5350 4.4691 1.9468
O -1.0653 -1.1042 4.5214
O -3.7717 3.6951 4.2044
O -2.7803 6.3364 4.2955
```

Computed properties:
- electronic total energy (eV per atom) = -8.136
- Fermi-level density of states (states/eV/atom) = 0.74